No. 1
Rb2NdBe2S4 after structural relaxation. Source: Alexandria via LeMat-Bulk, functional GGA-PBE.

Values from the calculation:
ΔE_f (raw) in eV/atom: -1.191
Energy in Ry/atom: -0.3380

a = 7.7671 Å, b = 7.7671 Å, c = 8.2605 Å
α = 112.20°, β = 112.20°, γ = 27.90°
Fractional coordinates of all 9 atoms:
Rb  0.1292  0.1292  0.0493
Rb  0.8708  0.8708  0.9507
Nd  0.0000  0.0000  0.5000
Be  0.3273  0.3273  0.5319
Be  0.6727  0.6727  0.4681
S  0.2085  0.2085  0.6286
S  0.4630  0.4630  0.7322
S  0.5370  0.5370  0.2678
S  0.7915  0.7915  0.3714

=====

No. 2
Tl2HgW after structural relaxation. Source: Alexandria via LeMat-Bulk, functional GGA-PBE.

Values from the calculation:
ΔH_f (0 K) in eV per atom: 0.721
Energy in Ry/atom: -0.2776
Energy relative to the lowest polymorph listed for this composition in eV per atom: 0.005

a = 11.0435 Å, b = 11.0435 Å, c = 11.0435 Å
α = 16.24°, β = 16.24°, γ = 16.24°
Fractional coordinates of all 4 atoms:
Tl  0.0000  0.0000  0.0000
Tl  0.2368  0.2368  0.2368
Hg  0.4813  0.4813  0.4813
W  0.7431  0.7431  0.7431

=====

No. 3
SrEuSe after structural relaxation. Source: Alexandria via LeMat-Bulk, functional GGA-PBE.

Values from the calculation:
ΔE_f (raw) in eV/atom: -1.250
Energy in Ry/atom: -0.4701

a = 4.2809 Å, b = 4.2809 Å, c = 7.2594 Å
α = 90.00°, β = 90.00°, γ = 120.00°
Fractional coordinates of all 3 atoms:
Sr  0.0000  0.0000  0.0000
Eu  0.3333  0.6667  0.5071
Se  0.6667  0.3333  0.2633